No. 1
## TbY2Al3CuSn2 (PBE-GGA)

Data for a geometry-optimized TbY2Al3CuSn2 structure.

```
9
Lattice="4.2855 0.0000 0.0000 0.0000 6.3382 3.6552 0.0000 -6.3382 3.6552" Properties=species:S:1:pos:R:3 pbc="T T T"
Tb 0.0000 0.0000 0.0000
Y 0.0000 -2.4566 3.0603
Y 0.0000 2.4566 3.0603
Al 2.1428 0.0000 2.8453
Al 2.1428 -1.4096 5.2900
Al 2.1428 1.4096 5.2900
Cu 0.0000 0.0000 4.4761
Sn 2.1428 -4.2221 4.4762
Sn 2.1428 4.2221 4.4762
```

## Properties
Total magnetization: 0.000 Bohr magnetons per cell
Total DFT energy (no corrections): -5.065 eV per atom

No. 2
## CoNiSbPt (PBE-GGA)

Data for a geometry-optimized CoNiSbPt structure.

```
4
Lattice="0.0000 3.0565 3.0565 3.0565 0.0000 3.0565 3.0565 3.0565 0.0000" Properties=species:S:1:pos:R:3 pbc="T T T"
Co 0.0000 0.0000 0.0000
Ni 3.0565 3.0565 3.0565
Sb 4.5847 4.5847 4.5847
Pt 1.5282 1.5282 1.5282
```

## Properties
Total magnetization: 0.706 Bohr magnetons per cell
Energy relative to the lowest polymorph listed for this composition: 0 meV per atom

No. 3
## LiTbHg3Se4 (PBE-GGA)

Data for a geometry-optimized LiTbHg3Se4 structure.

```
9
Lattice="6.6593 0.0000 0.0000 0.0000 6.6593 0.0000 0.0000 0.0000 6.6593" Properties=species:S:1:pos:R:3 pbc="T T T"
Li 0.0000 0.0000 0.0000
Tb 3.3297 3.3297 3.3297
Hg 0.0000 3.3297 3.3297
Hg 3.3297 0.0000 3.3297
Hg 3.3297 3.3297 0.0000
Se 1.7226 1.7226 1.7226
Se 1.7226 4.9367 4.9367
Se 4.9367 1.7226 4.9367
Se 4.9367 4.9367 1.7226
```

## Properties
Total magnetization: 0.001 Bohr magnetons per cell
Energy relative to the lowest polymorph listed for this composition: 64 meV per atom

No. 4
## CsSiPd (PBE-GGA)

Data for a geometry-optimized CsSiPd structure.

```
3
Lattice="0.0000 3.6947 3.6947 3.6947 0.0000 3.6947 3.6947 3.6947 0.0000" Properties=species:S:1:pos:R:3 pbc="T T T"
Cs 0.0000 0.0000 0.0000
Si 1.8474 1.8474 1.8474
Pd 5.5421 5.5421 5.5421
```

## Properties
Energy relative to the lowest polymorph listed for this composition: 542 meV per atom

Number 4 is which compound?
CsSiPd

Repeat the third record exactly.
## LiTbHg3Se4 (PBE-GGA)

Data for a geometry-optimized LiTbHg3Se4 structure.

```
9
Lattice="6.6593 0.0000 0.0000 0.0000 6.6593 0.0000 0.0000 0.0000 6.6593" Properties=species:S:1:pos:R:3 pbc="T T T"
Li 0.0000 0.0000 0.0000
Tb 3.3297 3.3297 3.3297
Hg 0.0000 3.3297 3.3297
Hg 3.3297 0.0000 3.3297
Hg 3.3297 3.3297 0.0000
Se 1.7226 1.7226 1.7226
Se 1.7226 4.9367 4.9367
Se 4.9367 1.7226 4.9367
Se 4.9367 4.9367 1.7226
```

## Properties
Total magnetization: 0.001 Bohr magnetons per cell
Energy relative to the lowest polymorph listed for this composition: 64 meV per atom